No. 1
# La6PtRh2Cl3

An optimized crystal structure of La6PtRh2Cl3 (PBE-GGA, Alexandria via LeMat-Bulk).

Computed properties:
magnetic moment = 0.0 μB/cell
raw total energy = -5.99 eV per atom

abc: 7.2616 12.5805 8.0148
angles: 90.00 107.53 90.00
Closest atoms and distances in Å follow each position.
Space group C2/m (No. 12)
Asymmetric unit:
La  0.2289  0.0000  0.2062 x4  2 Rh 2.87, 1 Pt 2.93
La  0.2384  0.3302  0.2060 x8  2 Rh 2.87, 1 Pt 2.93
Pt  0.0000  0.5000  0.0000 x2  6 La 2.93
Rh  0.0000  0.1665  0.0000 x4  6 La 2.87
Cl  0.0000  0.0000  0.5000 x2  6 La 3.27-3.32
Cl  0.0000  0.3308  0.5000 x4  6 La 3.25-3.34

=====

No. 2
# Na6ZnAu

An optimized crystal structure of Na6ZnAu (PBE-GGA, Alexandria via LeMat-Bulk).

Computed properties:
formation energy = -0.056 eV/atom
magnetic moment = 0.0 μB/cell

abc: 3.8995 11.0574 10.8298
angles: 90.00 90.00 90.00
Closest atoms and distances in Å follow each position.
Space group Amm2 (No. 38)
Asymmetric unit:
Na  0.0000  0.0000  0.0000 x2  2 Na 3.27, 2 Au 3.35
Na  0.0000  0.2129  0.2101 x4  2 Au 3.09, 1 Zn 3.26, 5 Na 3.27-3.46
Na  0.5000  0.0000  0.6877 x2  6 Na 3.48-3.73, 2 Zn 3.51
Na  0.5000  0.2176  0.4560 x4  2 Zn 3.12, 1 Au 3.27, 5 Na 3.30-3.48
Zn  0.0000  0.0000  0.4187 x2  2 Au 2.66
Au  0.5000  0.0000  0.2516 x2  2 Zn 2.66

=====

No. 3
# BaNi3Ge3

An optimized crystal structure of BaNi3Ge3 (PBE-GGA, Alexandria via LeMat-Bulk).

Computed properties:
formation energy = -0.234 eV/atom
E above lowest polymorph = 27.1 meV/atom
magnetic moment = 0.0 μB/cell

abc: 6.3306 6.3306 24.0597
angles: 90.00 90.00 120.00
Closest atoms and distances in Å follow each position.
Space group R-3 (No. 148, hexagonal axes)
Asymmetric unit:
Ba  0.0000  0.0000  0.1752 x6  6 Ge 3.37-3.42, 3 Ni 3.40, 3 Ba 3.68
Ni  0.0207  0.7647  0.6993 x18  4 Ge 2.34-2.40, 1 Ni 2.59
Ge  0.0321  0.6071  0.2680 x18  4 Ni 2.34-2.40

=====

No. 4
# AcTbTe6

An optimized crystal structure of AcTbTe6 (PBE-GGA, Alexandria via LeMat-Bulk).

Computed properties:
magnetic moment = 0.0 μB/cell
raw total energy = -4.43 eV per atom

abc: 4.4242 4.4234 27.7182
angles: 90.00 90.00 90.00
Closest atoms and distances in Å follow each position.
Space group Amm2 (No. 38)
Asymmetric unit:
Ac  0.0000  0.0000  0.0000 x2  9 Te 3.32-3.52
Tb  0.5000  0.0000  0.6569 x2  9 Te 3.25-3.34
Te  0.0000  0.0000  0.1247 x2  4 Tb 3.25, 1 Ac 3.46
Te  0.0000  0.0000  0.4010 x2  4 Te 3.13
Te  0.0000  0.0000  0.7472 x2  4 Te 3.13, 2 Tb 3.34
Te  0.5000  0.0000  0.2472 x2  4 Te 3.13, 2 Tb 3.34
Te  0.5000  0.0000  0.5397 x2  1 Tb 3.25, 4 Ac 3.32
Te  0.5000  0.0000  0.9011 x2  4 Te 3.13

=====

No. 5
# Nd2NiSn3Rh4

An optimized crystal structure of Nd2NiSn3Rh4 (PBE-GGA, Alexandria via LeMat-Bulk).

Computed properties:
formation energy = -0.600 eV/atom
magnetic moment = 0.0 μB/cell

abc: 4.3048 4.3048 11.1669
angles: 90.00 90.00 90.00
Closest atoms and distances in Å follow each position.
Space group P-4m2 (No. 115)
Asymmetric unit:
Nd  0.0000  0.5000  0.2362 x2  4 Rh 3.25, 6 Sn 3.38-3.40, 2 Ni 3.40
Ni  0.5000  0.5000  0.0000 x1  4 Rh 2.62
Sn  0.0000  0.0000  0.0000 x1  4 Rh 2.62
Sn  0.0000  0.5000  0.6331 x2  5 Rh 2.61-2.62
Rh  0.0000  0.0000  0.5000 x1  4 Sn 2.62
Rh  0.0000  0.5000  0.8666 x2  3 Sn 2.61-2.62, 2 Ni 2.62
Rh  0.5000  0.5000  0.5000 x1  4 Sn 2.62

=====

No. 6
# Tb3PdRh

An optimized crystal structure of Tb3PdRh (PBE-GGA, Alexandria via LeMat-Bulk).

Computed properties:
formation energy = -0.717 eV/atom
E above lowest polymorph = 0.0 meV/atom
magnetic moment = 0.0 μB/cell

abc: 8.6594 7.4510 7.9495
angles: 90.00 103.96 90.00
Closest atoms and distances in Å follow each position.
Space group P2_1/c (No. 14)
Asymmetric unit:
Tb  0.0718  0.0050  0.2183 x4  4 Pd 2.83-3.03, 1 Rh 2.90
Tb  0.2970  0.1443  0.6169 x4  3 Rh 2.80-3.01, 1 Pd 3.00
Tb  0.3640  0.6892  0.4935 x4  1 Pd 2.89, 3 Rh 2.95-3.13
Pd  0.0558  0.6856  0.0231 x4  6 Tb 2.83-3.03, 1 Pd 2.92
Rh  0.4153  0.0442  0.3035 x4  7 Tb 2.80-3.13

=====

No. 7
# CaCoMo2

An optimized crystal structure of CaCoMo2 (PBE-GGA, Alexandria via LeMat-Bulk).

Computed properties:
formation energy = 1.037 eV/atom
E above lowest polymorph = 612.4 meV/atom
magnetic moment = 0.9 μB/cell

abc: 4.8344 4.8344 2.7954
angles: 90.00 90.00 90.00
Closest atoms and distances in Å follow each position.
Space group P4/mmm (No. 123)
Asymmetric unit:
Ca  0.0000  0.0000  0.0000 x1  8 Mo 2.79, 2 Ca 2.80
Co  0.5000  0.5000  0.0000 x1  8 Mo 2.79, 2 Co 2.80
Mo  0.0000  0.5000  0.5000 x2  4 Co 2.79, 4 Ca 2.79, 2 Mo 2.80

=====

No. 8
# Ti2CoRh2

An optimized crystal structure of Ti2CoRh2 (PBE-GGA, Alexandria via LeMat-Bulk).

Computed properties:
formation energy = -0.356 eV/atom
E above lowest polymorph = 0.0 meV/atom
magnetic moment = 2.4 μB/cell

abc: 7.1714 7.1714 2.9372
angles: 90.00 90.00 90.00
Closest atoms and distances in Å follow each position.
Space group P4/mbm (No. 127)
Asymmetric unit:
Ti  0.1655  0.3345  0.0000 x4  6 Rh 2.48-2.63
Co  0.0000  0.0000  0.5000 x2  4 Rh 2.78, 2 Co 2.94, 8 Ti 3.05
Rh  0.1374  0.6374  0.5000 x4  6 Ti 2.48-2.63

=====

No. 9
# K8Rb3Ag2

An optimized crystal structure of K8Rb3Ag2 (PBE-GGA, Alexandria via LeMat-Bulk).

Computed properties:
formation energy = 0.042 eV/atom
magnetic moment = 0.0 μB/cell

abc: 12.5106 5.3192 13.0509
angles: 90.00 95.99 90.00
Closest atoms and distances in Å follow each position.
Space group P2/m (No. 10)
Asymmetric unit:
K  0.0746  0.0000  0.2468 x2  1 Ag 3.61
K  0.1636  0.5000  0.9595 x2  2 Ag 3.49
K  0.3522  0.5000  0.2518 x2  2 Ag 3.42
K  0.4104  0.0000  0.8562 x2  2 Ag 3.51-3.66
Rb  0.1872  0.5000  0.5832 x2  8 K 4.92-5.20, 5 Rb 4.94-5.32
Rb  0.5000  0.0000  0.5000 x1  6 K 4.44-4.89, 4 Rb 4.94
Ag  0.2965  0.0000  0.0908 x2  7 K 3.42-3.66

=====

No. 10
# Sr2ReTc

An optimized crystal structure of Sr2ReTc (PBE-GGA, Alexandria via LeMat-Bulk).

Computed properties:
formation energy = 1.507 eV/atom
E above lowest polymorph = 1195.2 meV/atom
magnetic moment = 4.5 μB/cell

abc: 5.5007 5.5007 3.3318
angles: 90.00 90.00 90.00
Closest atoms and distances in Å follow each position.
Space group P4/mmm (No. 123)
Asymmetric unit:
Sr  0.0000  0.5000  0.0000 x2  4 Re 3.22, 4 Tc 3.22, 2 Sr 3.33
Re  0.0000  0.0000  0.5000 x1  8 Sr 3.22, 2 Re 3.33
Tc  0.5000  0.5000  0.5000 x1  8 Sr 3.22, 2 Tc 3.33

=====

No. 11
# Pm2Er5Tm

An optimized crystal structure of Pm2Er5Tm (PBE-GGA, Alexandria via LeMat-Bulk).

Computed properties:
formation energy = 0.022 eV/atom
E above lowest polymorph = 0.0 meV/atom
magnetic moment = 0.0 μB/cell

abc: 7.0788 14.1579 4.9981
angles: 90.00 90.00 90.00
Closest atoms and distances in Å follow each position.
Space group Pbam (No. 55)
Asymmetric unit:
Pm  0.2490  0.1248  0.0000 x4  2 Tm 3.53, 10 Er 3.54
Er  0.0000  0.5000  0.5000 x2  6 Er 3.53-3.54, 2 Tm 3.54, 4 Pm 3.54
Er  0.0013  0.7501  0.5000 x4  7 Er 3.54, 1 Tm 3.54, 4 Pm 3.54
Er  0.2490  0.3751  0.0000 x4  6 Er 3.53-3.54, 4 Pm 3.54, 2 Tm 3.54
Tm  0.0000  0.0000  0.5000 x2  4 Pm 3.53, 8 Er 3.54

=====

No. 12
# ThTiSb

An optimized crystal structure of ThTiSb (PBE-GGA, Alexandria via LeMat-Bulk).

Computed properties:
magnetic moment = 0.0 μB/cell
raw total energy = -6.93 eV per atom

abc: 4.3844 14.5392 4.5954
angles: 90.00 90.00 90.00
Closest atoms and distances in Å follow each position.
Space group Cmcm (No. 63)
Asymmetric unit:
Th  0.0000  0.0863  0.2500 x4  4 Ti 3.21-3.34, 4 Sb 3.22, 2 Th 3.40
Ti  0.0000  0.2528  0.7500 x4  4 Sb 2.90-2.93, 4 Ti 3.18, 2 Th 3.21
Sb  0.0000  0.3773  0.2500 x4  4 Ti 2.90-2.93, 4 Th 3.22

=====

No. 13
# BaHo4Zn5

An optimized crystal structure of BaHo4Zn5 (PBE-GGA, Alexandria via LeMat-Bulk).

Computed properties:
formation energy = -0.286 eV/atom
magnetic moment = 0.0 μB/cell

abc: 3.6246 3.6246 18.4572
angles: 90.00 90.00 90.00
Closest atoms and distances in Å follow each position.
Space group P4/mmm (No. 123)
Asymmetric unit:
Ba  0.0000  0.0000  0.0000 x1  8 Zn 3.52, 4 Ba 3.62
Ho  0.0000  0.0000  0.2177 x2  8 Zn 3.03-3.09
Ho  0.0000  0.0000  0.4064 x2  8 Zn 3.09-3.11, 1 Ho 3.45
Zn  0.5000  0.5000  0.1305 x2  4 Ho 3.03, 1 Zn 3.33
Zn  0.5000  0.5000  0.3109 x2  8 Ho 3.09-3.11, 1 Zn 3.33
Zn  0.5000  0.5000  0.5000 x1  8 Ho 3.09

=====

No. 14
# NbV2Te3

An optimized crystal structure of NbV2Te3 (PBE-GGA, Alexandria via LeMat-Bulk).

Computed properties:
magnetic moment = 2.6 μB/cell
raw total energy = -6.47 eV per atom

abc: 20.4281 3.6182 7.7514
angles: 90.00 94.76 90.00
Closest atoms and distances in Å follow each position.
Space group C2/m (No. 12)
Asymmetric unit:
Nb  0.1452  0.0000  0.0642 x4  2 V 2.80, 6 Te 2.82-3.09
V  0.0472  0.5000  0.1408 x4  4 Te 2.64-2.73, 1 V 2.79, 2 Nb 2.80
V  0.2136  0.0000  0.4451 x4  2 V 2.45, 4 Te 2.68-2.74
Te  0.0828  0.0000  0.3779 x4  3 V 2.64-2.68, 1 Nb 2.84
Te  0.0845  0.5000  0.8228 x4  2 V 2.64-2.73, 2 Nb 2.82
Te  0.2471  0.0000  0.7903 x4  3 V 2.71-2.74, 2 Nb 3.00

=====

No. 15
# Sc7Ag2Pd2

An optimized crystal structure of Sc7Ag2Pd2 (PBE-GGA, Alexandria via LeMat-Bulk).

Computed properties:
formation energy = -0.198 eV/atom
magnetic moment = 0.0 μB/cell

abc: 7.4357 10.1754 6.7411
angles: 90.00 90.00 90.00
Closest atoms and distances in Å follow each position.
Space group Cmmm (No. 65)
Asymmetric unit:
Sc  0.0000  0.0000  0.0000 x2  2 Pd 2.92
Sc  0.0000  0.5000  0.2565 x4  2 Pd 2.77, 2 Ag 2.87
Sc  0.2500  0.2500  0.2647 x8  2 Pd 2.60
Ag  0.1837  0.0000  0.5000 x4  1 Ag 2.73, 6 Sc 2.87-3.04
Pd  0.0000  0.2869  0.0000 x4  6 Sc 2.60-2.77

=====

No. 16
# MoWSeS3

An optimized crystal structure of MoWSeS3 (PBE-GGA, Alexandria via LeMat-Bulk).

Computed properties:
E above lowest polymorph = 17.5 meV/atom
magnetic moment = 0.0 μB/cell

abc: 3.2222 3.2222 30.8307
angles: 90.00 90.00 120.00
Closest atoms and distances in Å follow each position.
Space group P3m1 (No. 156)
Asymmetric unit:
Mo  0.0000  0.0000  0.0000 x1  6 S 2.42
Mo  0.3333  0.6667  0.7059 x1  6 S 2.42
W  0.0000  0.0000  0.4644 x1  6 Se 2.53
W  0.3333  0.6667  0.2305 x1  6 S 2.43
Se  0.3333  0.6667  0.4085 x1  3 W 2.53
Se  0.3333  0.6667  0.5202 x1  3 W 2.53
S  0.0000  0.0000  0.1799 x1  3 W 2.43
S  0.0000  0.0000  0.2812 x1  3 W 2.43
S  0.0000  0.0000  0.6555 x1  3 Mo 2.42
S  0.0000  0.0000  0.7563 x1  3 Mo 2.42
S  0.3333  0.6667  0.0504 x1  3 Mo 2.42
S  0.3333  0.6667  0.9496 x1  3 Mo 2.42

=====

No. 17
# Ca2HgI2

An optimized crystal structure of Ca2HgI2 (PBE-GGA, Alexandria via LeMat-Bulk).

Computed properties:
magnetic moment = 0.0 μB/cell
raw total energy = -2.29 eV per atom

abc: 8.4592 8.4592 4.9251
angles: 90.00 90.00 90.00
Closest atoms and distances in Å follow each position.
Space group P4/mbm (No. 127)
Asymmetric unit:
Ca  0.1675  0.3325  0.0000 x4  2 Hg 3.15, 2 I 3.25
Hg  0.0000  0.0000  0.0000 x2  4 Ca 3.15
I  0.1558  0.6558  0.5000 x4  2 Ca 3.25

=====

No. 18
# TbTmGeIr

An optimized crystal structure of TbTmGeIr (PBE-GGA, Alexandria via LeMat-Bulk).

Computed properties:
formation energy = -0.705 eV/atom
E above lowest polymorph = 158.8 meV/atom
magnetic moment = 0.0 μB/cell

abc: 6.9808 6.9808 6.9808
angles: 90.00 90.00 90.00
Closest atoms and distances in Å follow each position.
Space group F-43m (No. 216)
Asymmetric unit:
Tb  0.0000  0.0000  0.0000 x4  4 Ge 3.02, 4 Ir 3.02
Tm  0.0000  0.0000  0.5000 x4  4 Ir 3.02, 4 Ge 3.02
Ge  0.2500  0.2500  0.2500 x4  4 Tb 3.02, 4 Tm 3.02
Ir  0.2500  0.2500  0.7500 x4  4 Tb 3.02, 4 Tm 3.02

=====

No. 19
# Sn3AsN

An optimized crystal structure of Sn3AsN (PBE-GGA, Alexandria via LeMat-Bulk).

Computed properties:
E above lowest polymorph = 1091.4 meV/atom
magnetic moment = 0.0 μB/cell

abc: 5.3856 5.3856 5.3856
angles: 90.00 90.00 90.00
Closest atoms and distances in Å follow each position.
Space group Pm-3m (No. 221)
Asymmetric unit:
Sn  0.0000  0.0000  0.5000 x3  2 As 2.69
As  0.0000  0.0000  0.0000 x1  6 Sn 2.69
N  0.5000  0.5000  0.5000 x1  12 Sn 3.81

=====

No. 20
# HgRhC2

An optimized crystal structure of HgRhC2 (PBE-GGA, Alexandria via LeMat-Bulk).

Computed properties:
formation energy = 1.326 eV/atom
magnetic moment = 0.0 μB/cell

abc: 5.1134 5.1134 9.1611
angles: 90.00 90.00 90.00
Closest atoms and distances in Å follow each position.
Space group I-42d (No. 122)
Asymmetric unit:
Hg  0.0000  0.0000  0.0000 x4  4 C 2.37
Rh  0.0000  0.0000  0.5000 x4  4 C 1.95
C  0.1796  0.2500  0.6250 x8  2 Rh 1.95